Computed, not measured: a relaxed BaLiCo4 crystal at the GGA-PBEsol level of DFT.

Cell lengths 5.0257, 5.0257, 5.0257 Å; angles 60.00, 60.00, 60.00 degrees
Closest atoms and distances in Å follow each position.
Fractional positions:
Ba 0.0000 0.0000 0.0000  12 Co 2.95, 4 Li 3.08
Co 0.3765 0.3765 0.3765  6 Co 2.48-2.54
Co 0.3765 0.3765 0.8706  6 Co 2.48-2.54
Co 0.8706 0.3765 0.3765  6 Co 2.48-2.54
Co 0.3765 0.8706 0.3765  6 Co 2.48-2.54
Li 0.7500 0.7500 0.7500  12 Co 2.94, 4 Ba 3.08

Calculated values
For the volume, the calculation gives 89.76 Å³ per cell. As for the electronic total energy: -32.14 eV/cell. Its magnetization is 5.084 μB per cell. The density of states at the Fermi level is 8.72 states/eV per cell. The formation energy is 0.4865 eV/atom. The space-group type is F-43m, No. 216.



Computed, not measured: a relaxed Ba2LiCo crystal at the GGA-PBEsol level of DFT.

Cell lengths 3.6934, 3.6934, 8.5439 Å; angles 90.00, 90.00, 90.00 degrees
Closest atoms and distances in Å follow each position.
Fractional positions:
Ba 0.0000 0.0000 0.9077  1 Co 2.77
Ba 0.5000 0.5000 0.3418  1 Li 2.78
Co 0.0000 0.0000 0.5831  4 Li 2.71, 1 Ba 2.77
Li 0.5000 0.5000 0.6674  4 Co 2.71, 1 Ba 2.78

Calculated values
For the volume, the calculation gives 116.55 Å³ per cell. As for the electronic total energy: -12.20 eV/cell. Its magnetization is 0.636 μB per cell. The density of states at the Fermi level is 4.22 states/eV per cell. The formation energy is 0.4514 eV/atom. The space-group type is P4mm, No. 99. The energy above the lowest structure with this stoichiometry comes out at 0.055 eV per atom.



Computed, not measured: a relaxed Ba2MgCo crystal at the GGA-PBEsol level of DFT.

Cell lengths 4.7420, 4.6836, 6.5972 Å; angles 90.00, 111.06, 90.00 degrees
Closest atoms and distances in Å follow each position.
Fractional positions:
Ba 0.0117 0.0000 0.8983  2 Co 3.23, 4 Mg 3.50
Ba 0.7305 0.5000 0.3363  2 Mg 3.36, 4 Co 3.56-3.57
Co 0.3334 0.0000 0.5417  2 Mg 2.60
Mg 0.4244 0.5000 0.7237  2 Co 2.60

Calculated values
For the volume, the calculation gives 136.73 Å³ per cell. As for the electronic total energy: -12.31 eV/cell. Its magnetization is 0.547 μB per cell. The density of states at the Fermi level is 5.22 states/eV per cell. The formation energy is 0.3598 eV/atom. The space-group type is Amm2, No. 38.



Computed, not measured: a relaxed BaMg6Co crystal at the GGA-PBEsol level of DFT.

Cell lengths 4.4968, 6.1327, 7.9104 Å; angles 112.81, 90.00, 90.00 degrees
Closest atoms and distances in Å follow each position.
Fractional positions:
Ba 0.5000 0.7231 0.4463  4 Mg 3.28-3.36, 2 Co 3.37
Mg 0.0000 0.7913 0.0893  1 Co 2.68, 4 Mg 2.86-3.00
Mg 0.0000 0.2980 0.0893  1 Co 2.68, 4 Mg 2.86-3.00
Mg 0.0000 0.3159 0.6317  6 Mg 3.17-3.53, 2 Co 3.28
Mg 0.5000 0.6825 0.8474  2 Co 2.72, 3 Mg 2.86-2.96
Mg 0.5000 0.1649 0.8474  2 Co 2.72, 3 Mg 2.86-2.96
Mg 0.5000 0.1294 0.2588  6 Mg 3.00-3.34, 2 Ba 3.36
Co 0.0000 0.8948 0.7896  6 Mg 2.68-2.72

Calculated values
For the volume, the calculation gives 201.09 Å³ per cell. As for the electronic total energy: -18.47 eV/cell. Its magnetization is 0.510 μB per cell. The density of states at the Fermi level is 6.65 states/eV per cell. The formation energy is 0.2148 eV/atom. The space-group type is Amm2, No. 38.



Computed, not measured: a relaxed BaMg2Co crystal at the GGA-PBEsol level of DFT.

Cell lengths 4.4826, 4.4826, 5.5878 Å; angles 113.65, 113.65, 90.00 degrees
Closest atoms and distances in Å follow each position.
Fractional positions:
Ba 0.5000 0.5000 0.0000  4 Co 3.17, 8 Mg 3.21
Co 0.0000 0.0000 0.0000  4 Ba 3.17, 8 Mg 3.21
Mg 0.7500 0.2500 0.5000  4 Mg 3.17, 4 Ba 3.21, 4 Co 3.21
Mg 0.2500 0.7500 0.5000  4 Mg 3.17, 4 Ba 3.21, 4 Co 3.21

Calculated values
For the volume, the calculation gives 92.46 Å³ per cell. As for the electronic total energy: -11.31 eV/cell. Its magnetization is 0.001 μB per cell. The density of states at the Fermi level is 2.44 states/eV per cell. The formation energy is 0.5025 eV/atom. The space-group type is I4/mmm, No. 139.



Computed, not measured: a relaxed Ba2MgCo crystal at the GGA-PBEsol level of DFT.

Cell lengths 3.6532, 5.6347, 6.8144 Å; angles 114.41, 105.55, 90.00 degrees
Closest atoms and distances in Å follow each position.
Fractional positions:
Ba 0.9959 0.9959 0.9918  4 Co 3.37, 2 Mg 3.53-3.54, 4 Ba 3.58-3.65
Ba 0.8102 0.3102 0.6204  2 Co 3.07
Co 0.5180 0.5179 0.0360  2 Mg 2.62
Mg 0.1759 0.6759 0.3519  2 Co 2.62

Calculated values
For the volume, the calculation gives 122.08 Å³ per cell. As for the electronic total energy: -12.32 eV/cell. Its magnetization is 0.470 μB per cell. The density of states at the Fermi level is 4.76 states/eV per cell. The formation energy is 0.3591 eV/atom. The space-group type is Imm2, No. 44.



Computed, not measured: a relaxed BaMgCo crystal at the GGA-PBEsol level of DFT.

Cell lengths 4.9941, 4.9941, 4.9941 Å; angles 60.00, 60.00, 60.00 degrees
Closest atoms and distances in Å follow each position.
Fractional positions:
Ba 0.0000 0.0000 0.0000  4 Mg 3.06
Co 0.5000 0.5000 0.5000  4 Mg 3.06
Mg 0.7500 0.7500 0.7500  4 Co 3.06, 4 Ba 3.06

Calculated values
For the volume, the calculation gives 88.08 Å³ per cell. As for the electronic total energy: -8.75 eV/cell. Its magnetization is 0.720 μB per cell. The density of states at the Fermi level is 6.82 states/eV per cell. The formation energy is 0.9506 eV/atom. The space-group type is F-43m, No. 216.



Computed, not measured: a relaxed Ba2MgCoW crystal at the GGA-PBEsol level of DFT.

Cell lengths 4.9973, 6.1997, 6.1997 Å; angles 90.00, 90.00, 90.00 degrees
Closest atoms and distances in Å follow each position.
Fractional positions:
Mg 0.0000 0.0000 0.0000  2 W 2.50
Co 0.5000 0.5000 0.5000  8 Ba 3.98, 4 W 4.38
Ba 0.0000 0.0000 0.5000  2 Mg 3.10
Ba 0.0000 0.5000 0.0000  2 Mg 3.10
W 0.5000 0.0000 0.0000  2 Mg 2.50

Calculated values
For the volume, the calculation gives 192.08 Å³ per cell. As for the electronic total energy: -17.75 eV/cell. Its magnetization is 4.906 μB per cell. The density of states at the Fermi level is 8.62 states/eV per cell. The formation energy is 1.9610 eV/atom. The space-group type is P4/mmm, No. 123.